Entry from Alexandria: an optimized crystal structure of BaNdCr4O12 (PBE with a Hubbard U).

Lattice parameters (Å, degrees): 5.4674 5.4674 7.5340 90.00 90.00 90.00
Space group P4/mmm (No. 123)
Asymmetric unit:
1 Ba 0.0000 0.0000 0.0000 x1
2 Nd 0.5000 0.5000 0.5000 x1
3 Cr 0.0000 0.5000 0.2496 x4
4 O 0.0000 0.5000 0.0000 x2
5 O 0.0000 0.5000 0.5000 x2
6 O 0.2597 0.2597 0.2630 x8

The value obtained for the total DFT energy (no corrections) is -6.979 eV per atom. Its total magnetization is 5.00 μB per formula unit.